Here is a crystal of Fe8As relaxed with PBEsol from the Alexandria database. Energies are from meta-GGA SCAN.

a b c (Å): 3.8226 5.4721 5.4721
angles (deg): 82.99 69.56 69.56
With the nearest neighbours (Å) after each atom.
Atoms (fractional coordinates):
As: 0.0000 0.0000 0.0000  12 Fe 2.43-2.56
Fe: 0.3337 0.3326 0.0000  10 Fe 2.41-2.57, 2 As 2.56
Fe: 0.6663 0.6674 0.0000  10 Fe 2.41-2.57, 2 As 2.56
Fe: 0.6650 0.3350 0.3350  11 Fe 2.39-2.57, 1 As 2.43
Fe: 0.3337 0.0000 0.3326  10 Fe 2.41-2.57, 2 As 2.56
Fe: 0.0000 0.6650 0.3350  11 Fe 2.39-2.57, 1 As 2.43
Fe: 0.6663 0.0000 0.6674  10 Fe 2.41-2.57, 2 As 2.56
Fe: 0.3350 0.6650 0.6650  11 Fe 2.39-2.57, 1 As 2.43
Fe: 0.0000 0.3350 0.6650  11 Fe 2.39-2.57, 1 As 2.43

Calculated values
- size of the total moment (μB per cell) = 20.28
- energy of formation (eV/atom) = 0.003
- symmetry = I4/mmm
- crystal system = tetragonal
- density of states at the Fermi level (states/eV/cell) = 6.3
- density (g/cm3) = 8.620